# 1
{
  "formula": "Li2TcN2",
  "functional": "meta-GGA SCAN",
  "state": "PBEsol geometry",
  "cell": [[5.391, 0.000, 0.000], [0.000, 5.391, 0.000], [0.000, 0.000, 3.033]],
  "species": ["Li", "Li", "Li", "Li", "Tc", "Tc", "N", "N", "N", "N"],
  "fractional_positions": [[0.136, 0.364, 0.000], [0.364, 0.864, 0.000], [0.636, 0.136, 0.000], [0.864, 0.636, 0.000], [0.000, 0.000, 0.500], [0.500, 0.500, 0.500], [0.185, 0.685, 0.500], [0.315, 0.185, 0.500], [0.685, 0.815, 0.500], [0.815, 0.315, 0.500]],
  "n_ef_per_ev_cell": 1.77,
  "raw_formation_energy_ev_per_atom": -0.36
}

=====

# 2
{
  "formula": "LiTe2N2",
  "functional": "meta-GGA SCAN",
  "state": "PBEsol geometry",
  "cell": [[4.755, 0.000, 0.000], [0.000, 4.755, 0.000], [0.000, 0.000, 3.318]],
  "species": ["Li", "Te", "Te", "N", "N"],
  "fractional_positions": [[0.000, 0.000, 0.000], [0.000, 0.500, 0.000], [0.500, 0.000, 0.000], [0.000, 0.000, 0.500], [0.500, 0.500, 0.500]],
  "n_ef_per_ev_cell": 2.62,
  "raw_formation_energy_ev_per_atom": 1.68
}

=====

# 3
{
  "formula": "LiTiTeN2",
  "functional": "meta-GGA SCAN",
  "state": "PBEsol geometry",
  "cell": [[3.811, 0.000, 0.000], [0.000, 3.811, 0.000], [0.000, 0.000, 4.582]],
  "species": ["Li", "Ti", "Te", "N", "N"],
  "fractional_positions": [[0.000, 0.000, 0.000], [0.500, 0.500, 0.500], [0.000, 0.000, 0.500], [0.000, 0.500, 0.000], [0.500, 0.000, 0.000]],
  "n_ef_per_ev_cell": 4.13,
  "raw_formation_energy_ev_per_atom": 1.29
}

=====

# 4
{
  "formula": "LiTlTe2N",
  "functional": "meta-GGA SCAN",
  "state": "PBEsol geometry",
  "cell": [[5.497, 0.000, 0.000], [0.000, 5.497, 0.000], [0.000, 0.000, 3.545]],
  "species": ["Li", "Tl", "Te", "Te", "N"],
  "fractional_positions": [[0.000, 0.000, 0.000], [0.500, 0.500, 0.500], [0.000, 0.500, 0.000], [0.500, 0.000, 0.000], [0.000, 0.000, 0.500]],
  "n_ef_per_ev_cell": 3.52,
  "de_polymorph_ev_per_atom": 0.0000,
  "raw_formation_energy_ev_per_atom": 0.67
}

=====

# 5
{
  "formula": "LiTlTe2N",
  "functional": "meta-GGA SCAN",
  "state": "PBEsol geometry",
  "cell": [[5.943, 0.000, 0.000], [0.000, 5.943, 0.000], [0.000, 0.000, 4.153]],
  "species": ["Li", "Tl", "Te", "Te", "N"],
  "fractional_positions": [[0.000, 0.000, 0.000], [0.500, 0.500, 0.500], [0.000, 0.500, 0.500], [0.500, 0.000, 0.500], [0.500, 0.500, 0.000]],
  "n_ef_per_ev_cell": 2.61,
  "de_polymorph_ev_per_atom": 0.1171,
  "raw_formation_energy_ev_per_atom": 0.78
}

=====

# 6
{
  "formula": "LiTe2WN",
  "functional": "meta-GGA SCAN",
  "state": "PBEsol geometry",
  "cell": [[4.948, 0.000, 0.000], [0.000, 4.948, 0.000], [0.000, 0.000, 3.359]],
  "species": ["Li", "Te", "Te", "W", "N"],
  "fractional_positions": [[0.000, 0.000, 0.000], [0.000, 0.500, 0.000], [0.500, 0.000, 0.000], [0.500, 0.500, 0.500], [0.000, 0.000, 0.500]],
  "n_ef_per_ev_cell": 3.82,
  "raw_formation_energy_ev_per_atom": 1.35
}

=====

# 7
{
  "formula": "LiZnTeN2",
  "functional": "meta-GGA SCAN",
  "state": "PBEsol geometry",
  "cell": [[3.780, 0.000, 0.000], [0.000, 3.780, 0.000], [0.000, 0.000, 5.026]],
  "species": ["Li", "Zn", "Te", "N", "N"],
  "fractional_positions": [[0.000, 0.000, 0.000], [0.500, 0.500, 0.500], [0.000, 0.000, 0.500], [0.000, 0.500, 0.000], [0.500, 0.000, 0.000]],
  "n_ef_per_ev_cell": 2.35,
  "raw_formation_energy_ev_per_atom": 1.47
}

=====

# 8
{
  "formula": "Li2ThN2",
  "functional": "meta-GGA SCAN",
  "state": "PBEsol geometry",
  "cell": [[3.667, 0.000, 0.000], [-1.834, 3.176, 0.000], [0.000, 0.000, 5.474]],
  "species": ["Li", "Li", "Th", "N", "N"],
  "fractional_positions": [[0.333, 0.667, 0.404], [0.667, 0.333, 0.596], [0.000, 0.000, 0.000], [0.333, 0.667, 0.772], [0.667, 0.333, 0.228]],
  "n_ef_per_ev_cell": 0.00,
  "raw_formation_energy_ev_per_atom": -1.22
}

=====

# 9
{
  "formula": "Li2TiN2",
  "functional": "meta-GGA SCAN",
  "state": "PBEsol geometry",
  "cell": [[3.050, 0.000, 0.000], [-1.525, 2.642, 0.000], [0.000, 0.000, 5.377]],
  "species": ["Li", "Li", "Ti", "N", "N"],
  "fractional_positions": [[0.333, 0.667, 0.131], [0.667, 0.333, 0.869], [0.000, 0.000, 0.500], [0.333, 0.667, 0.711], [0.667, 0.333, 0.289]],
  "raw_formation_energy_ev_per_atom": -1.26
}

=====

# 10
{
  "formula": "Li2TlN",
  "functional": "meta-GGA SCAN",
  "state": "PBEsol geometry",
  "cell": [[-2.585, 2.585, 5.084], [2.585, -2.585, 5.084], [2.585, 2.585, -5.084]],
  "species": ["Li", "Li", "Li", "Li", "Tl", "Tl", "N", "N"],
  "fractional_positions": [[0.000, 0.000, 0.000], [0.000, 0.000, 0.500], [0.000, 0.500, 0.000], [0.500, 0.000, 0.500], [0.375, 0.625, 0.750], [0.625, 0.375, 0.250], [0.125, 0.875, 0.250], [0.875, 0.125, 0.750]],
  "raw_formation_energy_ev_per_atom": 0.04
}

=====

# 11
{
  "formula": "LiTl3N",
  "functional": "meta-GGA SCAN",
  "state": "PBEsol geometry",
  "cell": [[4.953, 0.000, 0.000], [0.000, 4.953, 0.000], [0.000, 0.000, 4.953]],
  "species": ["Li", "Tl", "Tl", "Tl", "N"],
  "fractional_positions": [[0.000, 0.000, 0.000], [0.000, 0.000, 0.500], [0.000, 0.500, 0.000], [0.500, 0.000, 0.000], [0.500, 0.500, 0.500]],
  "n_ef_per_ev_cell": 1.79,
  "de_polymorph_ev_per_atom": 0.2983,
  "raw_formation_energy_ev_per_atom": 0.94
}

=====

# 12
{
  "formula": "LiTl3N",
  "functional": "meta-GGA SCAN",
  "state": "PBEsol geometry",
  "cell": [[4.935, 0.000, 0.000], [0.000, 4.935, 0.000], [0.000, 0.000, 4.935]],
  "species": ["Li", "Tl", "Tl", "Tl", "N"],
  "fractional_positions": [[0.000, 0.000, 0.000], [0.000, 0.500, 0.500], [0.500, 0.000, 0.500], [0.500, 0.500, 0.000], [0.500, 0.500, 0.500]],
  "n_ef_per_ev_cell": 2.52,
  "de_polymorph_ev_per_atom": 0.0000,
  "raw_formation_energy_ev_per_atom": 0.64
}